# 1
This record from the Alexandria database describes an optimized crystal structure of SrPmTlCd. The functional is GGA-PBE.

Values from the calculation:
DOS at the Fermi energy: 2.8 states/eV per cell
energy above the lowest structure with this stoichiometry: 0.0 meV/atom
total moment: 0.007 μB/cell

Cell lengths 3.924, 3.924, 8.088 Å; angles 90.00, 90.00, 90.00 degrees
Space group P4mm (No. 99)
Symmetry-distinct sites (fractional):
Sr  0.000  0.000  0.000 x1
Pm  0.000  0.000  0.508 x1
Tl  0.500  0.500  0.273 x1
Cd  0.500  0.500  0.732 x1

=====

# 2
This record from the Alexandria database describes an optimized crystal structure of SrPmTlCd. The functional is GGA-PBE.

Values from the calculation:
DOS at the Fermi energy: 9.6 states/eV per cell
energy above the lowest structure with this stoichiometry: 16.8 meV/atom
total moment: 0.000 μB/cell

Cell lengths 7.916, 7.916, 7.916 Å; angles 90.00, 90.00, 90.00 degrees
Space group F-43m (No. 216)
Symmetry-distinct sites (fractional):
Sr  0.000  0.000  0.000 x4
Pm  0.000  0.000  0.500 x4
Tl  0.250  0.250  0.750 x4
Cd  0.250  0.250  0.250 x4

=====

# 3
This record from the Alexandria database describes an optimized crystal structure of SrPmZnCd. The functional is GGA-PBE.

Values from the calculation:
DOS at the Fermi energy: 10.6 states/eV per cell
energy above the lowest structure with this stoichiometry: 37.4 meV/atom
total moment: 0.000 μB/cell

Cell lengths 7.701, 7.701, 7.701 Å; angles 90.00, 90.00, 90.00 degrees
Space group F-43m (No. 216)
Symmetry-distinct sites (fractional):
Sr  0.000  0.000  0.000 x4
Pm  0.000  0.000  0.500 x4
Zn  0.250  0.250  0.250 x4
Cd  0.250  0.250  0.750 x4

=====

# 4
This record from the Alexandria database describes an optimized crystal structure of SrPmZnCd. The functional is GGA-PBE.

Values from the calculation:
DOS at the Fermi energy: 3.6 states/eV per cell
energy above the lowest structure with this stoichiometry: 0.0 meV/atom
total moment: 0.149 μB/cell

Cell lengths 3.845, 3.845, 7.774 Å; angles 90.00, 90.00, 90.00 degrees
Space group P4mm (No. 99)
Symmetry-distinct sites (fractional):
Sr  0.000  0.000  0.000 x1
Pm  0.000  0.000  0.473 x1
Zn  0.500  0.500  0.271 x1
Cd  0.500  0.500  0.714 x1

=====

# 5
This record from the Alexandria database describes an optimized crystal structure of PmTaCd. The functional is GGA-PBE.

Values from the calculation:
DFT total energy: -5.592 eV per atom
DOS at the Fermi energy: 9.6 states/eV per cell
total moment: 0.000 μB/cell

Cell lengths 4.359, 4.379, 14.543 Å; angles 90.00, 90.00, 90.00 degrees
Space group Cmmm (No. 65)
Symmetry-distinct sites (fractional):
Pm  0.000  0.000  0.186 x4
Ta  0.000  0.500  0.352 x4
Cd  0.000  0.000  0.500 x2
Cd  0.000  0.500  0.000 x2

=====

# 6
This record from the Alexandria database describes an optimized crystal structure of TbPm4Cd3. The functional is GGA-PBE.

Values from the calculation:
DFT total energy: -3.487 eV per atom
DOS at the Fermi energy: 11.6 states/eV per cell
total moment: 0.067 μB/cell

Cell lengths 3.796, 5.520, 11.165 Å; angles 90.00, 90.00, 90.00 degrees
Space group Pmmm (No. 47)
Symmetry-distinct sites (fractional):
Tb  0.000  0.000  0.000 x1
Pm  0.500  0.000  0.262 x2
Pm  0.500  0.500  0.000 x1
Pm  0.500  0.500  0.500 x1
Cd  0.000  0.000  0.500 x1
Cd  0.000  0.500  0.247 x2

=====

# 7
This record from the Alexandria database describes an optimized crystal structure of TbPmCd. The functional is GGA-PBE.

Values from the calculation:
DOS at the Fermi energy: 16.1 states/eV per cell
energy above the lowest structure with this stoichiometry: 212.7 meV/atom
total moment: 0.002 μB/cell

Cell lengths 3.372, 17.770, 5.980 Å; angles 90.00, 90.00, 90.00 degrees
Space group Cmcm (No. 63)
Symmetry-distinct sites (fractional):
Tb  0.000  0.000  0.000 x4
Pm  0.000  0.186  0.250 x4
Cd  0.000  0.366  0.250 x4

=====

# 8
This record from the Alexandria database describes an optimized crystal structure of TbPm3Cd. The functional is GGA-PBE.

Values from the calculation:
DOS at the Fermi energy: 26.3 states/eV per cell
energy above the lowest structure with this stoichiometry: 0.0 meV/atom
total moment: 0.000 μB/cell

Cell lengths 13.100, 3.740, 12.901 Å; angles 90.00, 93.47, 90.00 degrees
Space group C2/m (No. 12)
Symmetry-distinct sites (fractional):
Tb  0.227  0.000  0.252 x4
Pm  0.040  0.000  0.690 x4
Pm  0.134  0.500  0.474 x4
Pm  0.146  0.000  0.945 x4
Cd  0.061  0.500  0.128 x4

=====

# 9
This record from the Alexandria database describes an optimized crystal structure of TbPmCd. The functional is GGA-PBE.

Values from the calculation:
DOS at the Fermi energy: 20.9 states/eV per cell
energy above the lowest structure with this stoichiometry: 291.4 meV/atom
total moment: 0.003 μB/cell

Cell lengths 7.373, 7.373, 7.373 Å; angles 90.00, 90.00, 90.00 degrees
Space group F-43m (No. 216)
Symmetry-distinct sites (fractional):
Tb  0.000  0.000  0.000 x4
Pm  0.000  0.000  0.500 x4
Cd  0.250  0.250  0.750 x4

=====

# 10
This record from the Alexandria database describes an optimized crystal structure of Tb2PmCd3. The functional is GGA-PBE.

Values from the calculation:
DFT total energy: -3.110 eV per atom
DOS at the Fermi energy: 29.7 states/eV per cell
total moment: 3.552 μB/cell

Cell lengths 5.326, 15.985, 7.632 Å; angles 90.00, 90.00, 90.00 degrees
Space group Cmmm (No. 65)
Symmetry-distinct sites (fractional):
Tb  0.000  0.000  0.000 x2
Tb  0.000  0.000  0.500 x2
Tb  0.000  0.332  0.000 x4
Pm  0.000  0.334  0.500 x4
Cd  0.000  0.165  0.243 x8
Cd  0.000  0.500  0.243 x4

=====

# 11
This record from the Alexandria database describes an optimized crystal structure of Tb2Pm2Cd. The functional is GGA-PBE.

Values from the calculation:
DOS at the Fermi energy: 31.8 states/eV per cell
energy above the lowest structure with this stoichiometry: 160.8 meV/atom
total moment: 0.001 μB/cell

Cell lengths 5.180, 5.180, 24.757 Å; angles 90.00, 90.00, 90.00 degrees
Space group I4_1/amd (No. 141, origin choice 2)
Symmetry-distinct sites (fractional):
Tb  0.000  0.250  0.054 x8
Pm  0.000  0.250  0.203 x8
Cd  0.000  0.250  0.375 x4

=====

# 12
This record from the Alexandria database describes an optimized crystal structure of TbPm7Cd2. The functional is GGA-PBE.

Values from the calculation:
DFT total energy: -3.589 eV per atom
DOS at the Fermi energy: 37.2 states/eV per cell
total moment: 0.005 μB/cell

Cell lengths 9.047, 16.165, 5.333 Å; angles 90.00, 90.00, 90.00 degrees
Space group Cmmm (No. 65)
Symmetry-distinct sites (fractional):
Tb  0.000  0.000  0.000 x2
Pm  0.000  0.222  0.000 x4
Pm  0.000  0.500  0.500 x2
Pm  0.183  0.117  0.500 x8
Cd  0.000  0.303  0.500 x4